No. 1
Compound: TcB2H
Source: the Alexandria database
Functional: PBE
Structure: relaxed

energy relative to the lowest polymorph listed for this composition = 0.000 eV per atom
total DFT energy (no corrections) = -0.45751 Ry/atom

a b c (Å): 3.1911 3.1911 6.5505
angles (deg): 75.90 75.90 90.00
Atoms (fractional coordinates):
H1 0.5000 0.5000 0.0000
H2 0.2500 0.7500 0.5000
B1 0.3760 0.1250 0.2500
B2 0.3740 0.6250 0.2500
B3 0.3750 0.6240 0.7500
B4 0.8750 0.6260 0.7500
Tc1 0.0000 0.0000 0.0000
Tc2 0.7500 0.2500 0.5000

=====

No. 2
Compound: BaMo2Pb
Source: the Alexandria database
Functional: PBE
Structure: relaxed

formation enthalpy at 0 K = 5.3 eV/f.u.
total DFT energy (no corrections) = -0.40442 Ry/atom

a b c (Å): 3.4097 5.6233 4.8081
angles (deg): 90.00 90.00 90.00
Each line ends with the local moment (μB).
Atoms (fractional coordinates):
Ba1 0.0000 0.5000 0.5000  0.01
Mo1 0.0000 0.0000 0.0000  0.58
Mo2 0.5000 0.5000 0.0000  0.31
Pb1 0.5000 0.0000 0.5000  -0.02

=====

No. 3
Compound: Pr3CdOs
Source: the Alexandria database
Functional: PBE
Structure: relaxed

formation enthalpy at 0 K = -0.4 eV/f.u.
energy relative to the lowest polymorph listed for this composition = 0.083 eV per atom
total DFT energy (no corrections) = -0.39536 Ry/atom

a b c (Å): 4.4239 8.1650 8.9195
angles (deg): 106.20 90.00 90.00
Atoms (fractional coordinates):
Pr1 0.7500 0.6682 0.4088
Pr2 0.2500 0.3318 0.5912
Pr3 0.7500 0.3021 0.9280
Pr4 0.2500 0.9354 0.7218
Pr5 0.2500 0.6979 0.0720
Pr6 0.7500 0.0646 0.2782
Cd1 0.2500 0.3471 0.2090
Cd2 0.7500 0.6529 0.7910
Os1 0.2500 0.8999 0.3906
Os2 0.7500 0.1001 0.6094

=====

No. 4
Compound: KBa2Mo
Source: the Alexandria database
Functional: PBE
Structure: relaxed

formation enthalpy at 0 K = 3.8 eV/f.u.
energy relative to the lowest polymorph listed for this composition = 0.160 eV per atom
total DFT energy (no corrections) = -0.22038 Ry/atom

a b c (Å): 6.2243 6.2243 6.2243
angles (deg): 60.00 60.00 60.00
Each line ends with the local moment (μB).
Atoms (fractional coordinates):
K1 0.0000 0.0000 0.0000  -0.03
Mo1 0.5000 0.5000 0.5000  2.97
Ba1 0.2500 0.2500 0.2500  -0.07
Ba2 0.7500 0.7500 0.7500  -0.07

=====

No. 5
Compound: Er3Hg2Pd2
Source: the Alexandria database
Functional: PBE
Structure: relaxed

formation enthalpy at 0 K = -4.9 eV/f.u.
total DFT energy (no corrections) = -0.31008 Ry/atom

a b c (Å): 3.9267 3.6509 11.3681
angles (deg): 90.00 80.05 90.00
Atoms (fractional coordinates):
Er1 0.8330 0.0000 0.3340
Er2 0.0000 0.0000 0.0000
Er3 0.1670 0.0000 0.6660
Hg1 0.5788 0.5000 0.8425
Hg2 0.4212 0.5000 0.1575
Pd1 0.7090 0.5000 0.5819
Pd2 0.2910 0.5000 0.4181

=====

No. 6
Compound: KGaSi
Source: the Alexandria database
Functional: PBE
Structure: relaxed

formation energy without anion corrections = 0.0691 eV/atom
total DFT energy (no corrections) = -0.22882 Ry/atom

a b c (Å): 7.2887 4.0078 6.8744
angles (deg): 90.00 116.41 90.00
Atoms (fractional coordinates):
K1 0.0250 0.5000 0.5649
K2 0.3746 0.5000 0.2336
Si1 0.9261 0.0000 0.9696
Si2 0.7160 0.0000 0.1504
Ga1 0.4625 0.0000 0.7522
Ga2 0.7100 0.5000 0.8115

=====

No. 7
Compound: La3Mo
Source: the Alexandria database
Functional: PBE
Structure: relaxed

formation enthalpy at 0 K = 1.8 eV/f.u.
energy relative to the lowest polymorph listed for this composition = 0.231 eV per atom
total DFT energy (no corrections) = -0.43844 Ry/atom

a b c (Å): 6.9920 6.9920 10.7908
angles (deg): 90.00 90.00 60.00
Each line ends with the local moment (μB).
Atoms (fractional coordinates):
Mo1 0.0000 0.0000 0.0000  0.34
Mo2 0.0000 0.0000 0.5000  0.34
Mo3 0.6667 0.6667 0.2500  0.72
Mo4 0.3333 0.3333 0.7500  0.72
La1 0.5000 0.5000 0.0000  -0.03
La2 0.5000 0.5000 0.5000  -0.03
La3 0.8485 0.3031 0.7500  -0.04
La4 0.3031 0.8485 0.7500  -0.04
La5 0.1515 0.1515 0.2500  -0.04
La6 0.5000 0.0000 0.0000  -0.03
La7 0.5000 0.0000 0.5000  -0.03
La8 0.0000 0.5000 0.0000  -0.03
La9 0.0000 0.5000 0.5000  -0.03
La10 0.8485 0.8485 0.7500  -0.04
La11 0.6969 0.1515 0.2500  -0.04
La12 0.1515 0.6969 0.2500  -0.04

=====

No. 8
Compound: Ac8TbTl6
Source: the Alexandria database
Functional: PBE
Structure: relaxed

formation enthalpy at 0 K = -2.5 eV/f.u.
total DFT energy (no corrections) = -0.26541 Ry/atom

a b c (Å): 9.7939 9.7939 9.0184
angles (deg): 57.11 57.11 60.00
Atoms (fractional coordinates):
Ac1 0.5466 0.2266 0.3370
Ac2 0.7734 0.1102 0.6630
Ac3 0.1102 0.4534 0.6630
Ac4 0.6640 0.6640 0.0081
Ac5 0.3360 0.3360 0.9919
Ac6 0.8898 0.5466 0.3370
Ac7 0.2266 0.8898 0.3370
Ac8 0.4534 0.7734 0.6630
Tb1 0.0000 0.0000 0.0000
Tl1 0.3730 0.0555 0.8321
Tl2 0.9445 0.2606 0.1679
Tl3 0.2606 0.6270 0.1679
Tl4 0.7394 0.3730 0.8321
Tl5 0.0555 0.7394 0.8321
Tl6 0.6270 0.9445 0.1679

=====

No. 9
Compound: CsCd2B2O6
Source: the Alexandria database
Functional: PBE
Structure: relaxed

formation energy without anion corrections = -1.6866 eV/atom
total DFT energy (no corrections) = -0.42990 Ry/atom

a b c (Å): 5.7967 6.9827 5.6662
angles (deg): 108.86 87.76 67.97
Each line ends with the local moment (μB).
Atoms (fractional coordinates):
Cs1 0.5000 0.0000 0.5000  0.00
Cd1 0.7766 0.4594 0.8148  0.02
Cd2 0.2234 0.5406 0.1852  0.02
B1 0.2267 0.6721 0.7634  -0.01
B2 0.7733 0.3279 0.2366  -0.01
O1 0.3764 0.7234 0.9398  0.17
O2 0.8815 0.4644 0.1947  0.14
O3 0.1959 0.7476 0.5689  0.12
O4 0.1185 0.5356 0.8053  0.14
O5 0.8041 0.2524 0.4311  0.12
O6 0.6236 0.2766 0.0602  0.17